Arrangement P

{"formula": "ScTaSe", "functional": "PBEsol", "state": "relaxed", "lattice": [[0.000, 3.069, 3.069], [3.069, 0.000, 3.069], [3.069, 3.069, 0.000]], "species": ["Sc", "Ta", "Se"], "fractional_positions": [[0.000, 0.000, 0.000], [0.500, 0.500, 0.500], [0.250, 0.250, 0.250]]}

---

Arrangement Q

{"formula": "ScTaSe", "functional": "PBEsol", "state": "relaxed", "lattice": [[-1.625, 1.625, 5.304], [1.625, -1.625, 5.304], [1.625, 1.625, -5.304]], "species": ["Sc", "Ta", "Se"], "fractional_positions": [[0.000, 0.000, 0.000], [0.304, 0.304, 0.000], [0.683, 0.683, 0.000]]}

---

Result of the stability comparison: arrangement Q is the most stable of them.